Si2WBr: optimized geometry, PBE.

```
data_Si2WBr
_cell_length_a 3.2640
_cell_length_b 3.2589
_cell_length_c 6.5698
_cell_angle_alpha 90.00
_cell_angle_beta 90.15
_cell_angle_gamma 90.00
_space_group_name_H-M_alt 'P 1'
_space_group_IT_number 1
_space_group_name_Hall 'P 1'
loop_
_atom_site_label
_atom_site_type_symbol
_atom_site_fract_x
_atom_site_fract_y
_atom_site_fract_z
_atom_site_occupancy
Si1 Si 0.0011 0.0000 0.1915 1
Si2 Si 0.9989 0.0000 0.8085 1
W1 W 0.5000 0.5000 0.0000 1
Br1 Br 0.5000 0.5000 0.5000 1
```

ΔE_f (raw) in eV/atom: 0.41
Uncorrected energy in eV/atom: -5.960
Density of states at the Fermi level in states/eV/f.u.: 2.59
ρ in Mg/m³: 7.6
Calculated volume in Å³/cell: 70

Si2WBr: optimized geometry, PBE.

```
data_Si2WBr
_cell_length_a 4.5220
_cell_length_b 4.5220
_cell_length_c 6.1429
_cell_angle_alpha 105.93
_cell_angle_beta 105.93
_cell_angle_gamma 42.26
_space_group_name_H-M_alt 'P 1'
_space_group_IT_number 1
_space_group_name_Hall 'P 1'
loop_
_atom_site_label
_atom_site_type_symbol
_atom_site_fract_x
_atom_site_fract_y
_atom_site_fract_z
_atom_site_occupancy
Si1 Si 0.2336 0.2336 0.1383 1
Si2 Si 0.7664 0.7664 0.8617 1
W1 W 0.5000 0.5000 0.0000 1
Br1 Br 0.5000 0.5000 0.5000 1
```

ΔE_f (raw) in eV/atom: 0.34
Uncorrected energy in eV/atom: -6.027
Density of states at the Fermi level in states/eV/f.u.: 1.86
ρ in Mg/m³: 6.6
Calculated volume in Å³/cell: 81

SiW2Br: optimized geometry, PBE.

```
data_SiW2Br
_cell_length_a 3.1694
_cell_length_b 3.1694
_cell_length_c 7.8834
_cell_angle_alpha 90.00
_cell_angle_beta 90.00
_cell_angle_gamma 90.00
_space_group_name_H-M_alt 'P 1'
_space_group_IT_number 1
_space_group_name_Hall 'P 1'
loop_
_atom_site_label
_atom_site_type_symbol
_atom_site_fract_x
_atom_site_fract_y
_atom_site_fract_z
_atom_site_occupancy
Si1 Si 0.0000 0.0000 0.0000 1
W1 W 0.0000 0.0000 0.3489 1
W2 W 0.5000 0.5000 0.1420 1
Br1 Br 0.5000 0.5000 0.5859 1
```

ΔE_f (raw) in eV/atom: 0.40
Uncorrected energy in eV/atom: -7.847
Density of states at the Fermi level in states/eV/f.u.: 2.56
ρ in Mg/m³: 10.0
Calculated volume in Å³/cell: 79

Si2WBr: optimized geometry, PBE.

```
data_Si2WBr
_cell_length_a 4.2181
_cell_length_b 4.2181
_cell_length_c 7.5194
_cell_angle_alpha 113.21
_cell_angle_beta 113.21
_cell_angle_gamma 45.54
_space_group_name_H-M_alt 'P 1'
_space_group_IT_number 1
_space_group_name_Hall 'P 1'
loop_
_atom_site_label
_atom_site_type_symbol
_atom_site_fract_x
_atom_site_fract_y
_atom_site_fract_z
_atom_site_occupancy
Si1 Si 0.0000 0.0000 0.0000 1
Si2 Si 0.2343 0.2343 0.8588 1
W1 W 0.4598 0.4598 0.7074 1
Br1 Br 0.7991 0.7991 0.4124 1
```

ΔE_f (raw) in eV/atom: 0.45
Uncorrected energy in eV/atom: -5.922
Density of states at the Fermi level in states/eV/f.u.: 3.67
ρ in Mg/m³: 6.2
Calculated volume in Å³/cell: 86